A geometry-optimized AcMo4O12 structure, computed with PBE with a Hubbard U.

Values from the calculation:
The calculated total energy comes out at -7.273 eV per atom. As for the crystal system: cubic. As for the volume: 240.8 Å³ per cell.

Cell: 6.7886 6.7886 6.7886 Å, 109.47 109.47 109.47°
Last column: magnetic moment on the atom in μB.
Fractional positions:
Ac (0.0000, 0.0000, 0.0000)  0.00
Mo (0.0000, 0.5000, 0.0000)  0.13
Mo (0.5000, 0.0000, 0.0000)  0.13
Mo (0.5000, 0.5000, 0.5000)  0.13
Mo (0.0000, 0.0000, 0.5000)  0.13
O (0.7562, 0.2461, 0.0023)  -0.01
O (0.2461, 0.4900, 0.2438)  -0.01
O (0.9977, 0.2438, 0.7539)  -0.01
O (0.2461, 0.0023, 0.7562)  -0.01
O (0.0023, 0.7562, 0.2461)  -0.01
O (0.7539, 0.5100, 0.7562)  -0.01
O (0.4900, 0.2438, 0.2461)  -0.01
O (0.5100, 0.7562, 0.7539)  -0.01
O (0.7539, 0.9977, 0.2438)  -0.01
O (0.7562, 0.7539, 0.5100)  -0.01
O (0.2438, 0.2461, 0.4900)  -0.01
O (0.2438, 0.7539, 0.9977)  -0.01